1.
Density functional theory data (PBE) for a geometry-optimized BaFeRu structure.

**Excess energy over the best structure of this formula in the dataset**: 189 meV per atom
**Formation energy from the elements**: 0.52 eV/atom
**E_tot**: -18.1 eV per formula unit

Lattice parameters (Å, degrees): 6.611 6.611 6.611 145.25 73.61 117.42
Element x y z (fractional)
Ba 0.000 0.000 0.000
Ba 0.500 0.000 0.500
Fe 0.435 0.685 0.750
Fe 0.565 0.315 0.250
Ru 0.104 0.354 0.750
Ru 0.896 0.646 0.250



2.
Density functional theory data (PBE) for a geometry-optimized MnNiPt14 structure.

**Formation energy from the elements**: -0.07 eV/atom
**E_tot**: -100.7 eV per formula unit

Lattice parameters (Å, degrees): 9.230 5.555 5.555 60.07 90.00 90.00
Element x y z (fractional)
Mn 0.000 0.000 0.000
Ni 0.000 0.500 0.500
Pt 0.000 0.002 0.501
Pt 0.000 0.501 0.002
Pt 0.240 0.333 0.832
Pt 0.240 0.832 0.333
Pt 0.245 0.335 0.335
Pt 0.245 0.835 0.835
Pt 0.500 0.166 0.166
Pt 0.500 0.167 0.667
Pt 0.500 0.666 0.666
Pt 0.500 0.667 0.167
Pt 0.755 0.335 0.335
Pt 0.755 0.835 0.835
Pt 0.760 0.333 0.832
Pt 0.760 0.832 0.333



3.
Density functional theory data (PBE) for a geometry-optimized CsPaCd2O6 structure.

**E_tot**: -59.2 eV per formula unit
**E_form (uncorrected)**: -1.726 eV per atom

Lattice parameters (Å, degrees): 7.601 7.601 6.642 91.06 91.06 100.50
Element x y z (fractional)
Cs 0.088 0.912 0.750
Cs 0.912 0.088 0.250
Pa 0.299 0.701 0.250
Pa 0.701 0.299 0.750
Cd 0.245 0.438 0.660
Cd 0.438 0.245 0.160
Cd 0.562 0.755 0.840
Cd 0.755 0.562 0.340
O 0.032 0.699 0.322
O 0.268 0.414 0.316
O 0.271 0.627 0.937
O 0.301 0.968 0.178
O 0.373 0.729 0.563
O 0.414 0.268 0.816
O 0.586 0.732 0.184
O 0.627 0.271 0.437
O 0.699 0.032 0.822
O 0.729 0.373 0.063
O 0.732 0.586 0.684
O 0.968 0.301 0.678



4.
Density functional theory data (PBE) for a geometry-optimized Tl2RuSeO6 structure.

**E_tot**: -53.0 eV per formula unit
**E_form (uncorrected)**: -0.579 eV per atom

Lattice parameters (Å, degrees): 5.272 5.274 6.454 114.00 114.00 90.01
Element x y z (fractional)
Tl 0.249 0.250 0.000
Tl 0.751 0.750 0.000
Ru 0.500 0.000 0.500
Se 0.000 0.500 0.500
O 0.173 0.178 0.498
O 0.320 0.818 0.137
O 0.322 0.675 0.501
O 0.678 0.325 0.499
O 0.680 0.182 0.863
O 0.827 0.822 0.502